A plane-wave DFT calculation with PBE was carried out for crystalline ZrCd2As at its relaxed geometry.

Unit cell a=9.519 b=3.703 c=5.439 alpha=90.00 beta=112.64 gamma=90.00
Fractional coordinates of all 8 atoms:
1 Zr 0.000 0.000 0.000
2 Zr 0.500 0.500 0.000
3 Cd 0.207 0.000 0.624
4 Cd 0.439 0.000 0.428
5 Cd 0.707 0.500 0.624
6 Cd 0.939 0.500 0.428
7 As 0.214 0.500 0.022
8 As 0.714 0.000 0.022

As for the energy relative to the elements: -0.225 eV/atom.